[1]
Compound: Cs3Rb7Na4
Source: the Alexandria database
Functional: PBE
Structure: optimized geometry

POSCAR file:
```
Cs3Rb7Na4
1.0
5.656 0.000 1.427
1.884 12.965 4.455
-0.812 -0.120 15.141
Cs Rb Na
3 7 4
Cartesian
1.932 2.422 4.266
4.797 10.423 16.757
0.536 6.422 9.798
2.961 10.861 12.111
2.627 3.064 13.434
4.694 5.085 17.165
3.768 1.984 8.912
2.035 7.760 3.858
0.000 0.000 0.000
4.102 9.780 7.590
4.309 5.562 6.767
2.420 7.283 14.256
6.468 12.095 10.134
0.261 0.750 10.889
```

magnetization: 0.000 μB/f.u.
E: -1.01 eV/atom
ΔE_f: 0.032 eV/atom

***

[2]
Compound: Cs2Rb7Na2
Source: the Alexandria database
Functional: PBE
Structure: optimized geometry

POSCAR file:
```
Cs2Rb7Na2
1.0
-4.637 -0.484 -2.515
4.546 -3.055 -13.375
0.683 -13.818 -4.180
Cs Rb Na
2 7 2
Cartesian
3.109 -7.059 -9.954
-0.534 -10.990 -8.060
-3.449 -4.232 -3.986
-0.924 -13.303 -12.476
2.059 -3.764 -14.233
-1.071 -4.312 -8.354
2.605 -10.418 -13.958
3.243 -15.346 -14.186
0.365 -7.257 -4.857
1.743 -13.078 -17.437
-0.208 -1.649 -4.878
```

magnetization: 0.000 μB/f.u.
E: -0.98 eV/atom
ΔE_f: 0.033 eV/atom

***

[3]
Compound: Cs3RbNa3
Source: the Alexandria database
Functional: PBE
Structure: optimized geometry

POSCAR file:
```
Cs3RbNa3
1.0
11.533 0.000 0.000
0.000 11.533 0.000
0.000 0.000 11.533
Cs Na Rb
6 6 2
Cartesian
0.000 2.883 5.766
0.000 8.649 5.766
5.766 0.000 8.649
8.649 5.766 0.000
5.766 0.000 2.883
2.883 5.766 0.000
2.883 0.000 5.766
0.000 5.766 2.883
5.766 8.649 0.000
8.649 0.000 5.766
0.000 5.766 8.649
5.766 2.883 0.000
5.766 5.766 5.766
0.000 0.000 0.000
```

magnetization: 0.000 μB/f.u.
polymorph energy (0 for the lowest one): 4.57 kcal/mol of atoms
E: -0.84 eV/atom
ΔE_f: 0.231 eV/atom

***

[4]
Compound: CsRb12Na6
Source: the Alexandria database
Functional: PBE
Structure: optimized geometry

POSCAR file:
```
CsRb12Na6
1.0
11.590 -0.262 -0.314
-2.016 11.416 -0.314
-2.016 -2.349 11.176
Cs Rb Na
1 12 6
Cartesian
0.000 0.000 0.000
8.081 5.267 7.037
4.688 8.895 6.440
3.981 5.354 9.902
-0.523 3.539 3.512
2.870 -0.089 4.109
3.577 3.452 0.647
8.926 7.795 3.228
1.206 7.418 0.129
7.149 -0.287 2.303
-1.367 1.011 7.322
6.352 1.388 10.420
0.409 9.093 8.247
4.829 6.786 2.823
6.743 3.795 3.368
1.583 7.065 4.336
2.729 2.020 7.726
0.815 5.010 7.181
5.976 1.741 6.213
```

magnetization: 0.000 μB/f.u.
E: -1.02 eV/atom
ΔE_f: 0.049 eV/atom

***

[5]
Compound: Cs9RbNa3
Source: the Alexandria database
Functional: PBE
Structure: optimized geometry

POSCAR file:
```
Cs9RbNa3
1.0
-8.451 2.894 9.043
8.824 -8.942 -1.937
7.686 3.615 8.196
Cs Rb Na
9 1 3
Cartesian
4.372 0.686 11.784
3.687 -3.119 3.517
-0.144 -0.494 5.952
8.202 -1.938 9.349
-3.092 2.817 8.658
11.150 -5.250 6.643
-0.086 2.449 13.785
8.145 -4.881 1.516
3.843 1.807 4.098
0.000 0.000 0.000
4.029 -1.216 7.650
4.412 -4.471 -0.969
-4.226 1.447 4.521
```

magnetization: 0.000 μB/f.u.
E: -0.93 eV/atom
ΔE_f: 0.037 eV/atom

***

[6]
Compound: Cs3RbNa
Source: the Alexandria database
Functional: PBE
Structure: optimized geometry

POSCAR file:
```
Cs3RbNa
1.0
8.561 0.000 0.000
0.000 8.561 0.000
0.000 0.000 8.561
Cs Na Rb
3 1 1
Cartesian
0.000 4.281 0.000
0.000 0.000 4.281
4.281 0.000 0.000
4.281 4.281 4.281
0.000 0.000 0.000
```

magnetization: 0.000 μB/f.u.
polymorph energy (0 for the lowest one): 5.35 kcal/mol of atoms
E: -0.72 eV/atom
ΔE_f: 0.250 eV/atom